(1)
First-principles (PBE) data for an optimized crystal structure of ZnSb2Se2, as listed in Alexandria via LeMat-Bulk.

Properties
Formation energy (no corrections), eV/atom: 0.0106
Electronic total energy, eV/atom: -3.2870
Total magnetization, μB per formula unit: 0.00
Offset from the most stable computed form, meV/atom: 0.0
Symmetry: P4/mbm

a = 8.116 Å, b = 8.116 Å, c = 4.028 Å
α = 90.00°, β = 90.00°, γ = 90.00°
Element x y z (fractional)
1 Zn 0.000 0.000 0.000
2 Zn 0.500 0.500 0.000
3 Sb 0.196 0.304 0.000
4 Sb 0.304 0.804 0.000
5 Sb 0.696 0.196 0.000
6 Sb 0.804 0.696 0.000
7 Se 0.148 0.648 0.500
8 Se 0.352 0.148 0.500
9 Se 0.648 0.852 0.500
10 Se 0.852 0.352 0.500

***

(2)
First-principles (PBE) data for an optimized crystal structure of ZnSbSe2, as listed in Alexandria via LeMat-Bulk.

Properties
Formation energy (no corrections), eV/atom: -0.1216
Electronic total energy, eV/atom: -3.2130
Total magnetization, μB per formula unit: 0.00
Offset from the most stable computed form, meV/atom: 113.9
Symmetry: Cmmm

a = 4.929 Å, b = 4.929 Å, c = 4.027 Å
α = 90.00°, β = 90.00°, γ = 109.22°
Element x y z (fractional)
1 Zn 0.000 0.000 0.000
2 Sb 0.500 0.500 0.000
3 Se 0.245 0.755 0.500
4 Se 0.755 0.245 0.500